(1)
Here is a relaxed RbCaCrCl6 crystal from Alexandria via LeMat-Bulk. Energies are from PBE-GGA.

Structure (extended XYZ):
```
18
Lattice="6.770 0.000 0.000 -3.385 5.863 0.000 0.000 0.000 14.335" Properties=species:S:1:pos:R:3 pbc="T T T"
Cl -1.922 3.815 12.146
Cl 2.343 3.572 2.188
Cl 5.307 2.048 2.188
Cl 0.880 5.620 12.146
Cl 4.265 0.243 4.979
Cl -0.880 5.620 9.355
Cl 1.042 2.291 12.146
Cl 1.463 2.048 4.979
Cl -1.042 2.291 9.355
Cl 1.922 3.815 9.355
Cl 2.505 0.243 2.188
Cl 4.427 3.572 4.979
Ca 3.385 1.954 10.751
Ca 0.000 3.909 3.584
Cr 3.385 1.954 3.584
Cr 0.000 3.909 10.751
Rb 0.000 0.000 0.000
Rb 0.000 0.000 7.167
```

(2)
Here is a relaxed RbCa2CrCl crystal from Alexandria via LeMat-Bulk. Energies are from PBE-GGA.

Structure (extended XYZ):
```
5
Lattice="6.892 0.000 0.000 0.000 5.555 0.000 0.000 0.000 6.892" Properties=species:S:1:pos:R:3 pbc="T T T"
Ca 0.000 0.000 3.446
Ca 3.446 0.000 0.000
Cr 3.446 2.777 3.446
Rb 0.000 0.000 0.000
Cl 0.000 2.777 0.000
```

(3)
Here is a relaxed CaCrSnCl6 crystal from Alexandria via LeMat-Bulk. Energies are from PBE-GGA.

Structure (extended XYZ):
```
18
Lattice="6.737 0.000 0.000 -3.368 5.834 0.000 0.000 0.000 12.420" Properties=species:S:1:pos:R:3 pbc="T T T"
Sn 0.000 0.000 6.210
Sn 0.000 0.000 0.000
Cl 4.407 3.703 4.556
Cl 1.004 5.668 10.766
Cl -2.042 3.870 10.766
Cl 2.330 3.703 1.654
Cl 1.038 2.131 10.766
Cl -1.004 5.668 7.864
Cl -1.038 2.131 7.864
Cl 2.042 3.870 7.864
Cl 5.411 1.965 1.654
Cl 4.372 0.166 4.556
Cl 2.364 0.166 1.654
Cl 1.326 1.965 4.556
Cr 0.000 3.889 9.315
Cr 3.368 1.945 3.105
Ca 0.000 3.889 3.105
Ca 3.368 1.945 9.315
```

| no. | uncorrected energy (eV/atom) | total magnetic moment (μB per atom) |
| --- | --- | --- |
| 1 | -4.378 | 0.333 |
| 2 | -2.591 | 1.014 |
| 3 | -4.378 | 0.444 |